The following is a DFT calculation (PBE) of a geometry-optimized Y2TmGa structure.

Results
**Relative energy among the computed polymorphs**: 1.77 eV/f.u.
**Final energy**: -4.96 eV per atom
**Energy of formation**: 142 meV per atom

Cell: 3.489 3.489 11.783 Å, 81.48 81.48 60.00°
Atoms (fractional coordinates):
Y1 0.914 0.914 0.258
Y2 0.086 0.086 0.742
Ga1 0.000 0.000 0.000
Tm1 0.500 0.500 0.500